Record 1
Pd2WC | PBE-GGA | relaxed

Results
The uncorrected energy comes out at -59.08 eV for the cell shown. The calculated formation energy is 0.755 eV per atom.

Cell: 7.1657 7.1657 5.5233 Å, 49.56 49.56 90.00°
Closest atoms and distances in Å follow each position.
Positions (direct):
Pd1 0.3750 0.4828 0.7500  2 C 2.13
W1 0.7500 0.2500 0.5000  2 C 2.20
C1 0.5000 0.5000 0.0000  4 Pd 2.13, 2 W 2.20
C2 0.2500 0.7500 0.5000  4 Pd 2.13, 2 W 2.20
Pd2 0.2328 0.6250 0.2500  2 C 2.13
W2 0.0000 0.0000 0.0000  2 C 2.20
Pd3 0.5172 0.1250 0.2500  2 C 2.13
Pd4 0.8750 0.7672 0.7500  2 C 2.13

***

Record 2
PdWC2 | PBE-GGA | relaxed

Results
The uncorrected energy comes out at -67.42 eV for the cell shown. The calculated formation energy is 0.721 eV per atom.

Cell: 4.7678 4.7678 5.7698 Å, 65.60 65.60 90.00°
Closest atoms and distances in Å follow each position.
Positions (direct):
C1 0.8750 0.8973 0.7500  2 W 1.99, 2 Pd 2.12
W1 0.7500 0.2500 0.5000  4 C 1.99
C2 0.6473 0.1250 0.2500  2 W 1.99, 2 Pd 2.12
Pd1 0.2500 0.7500 0.5000  4 C 2.12
C3 0.3750 0.3527 0.7500  2 W 1.99, 2 Pd 2.12
C4 0.1027 0.6250 0.2500  2 W 1.99, 2 Pd 2.12
Pd2 0.5000 0.5000 0.0000  4 C 2.12
W2 0.0000 0.0000 0.0000  4 C 1.99